1.
DFT (GGA-PBE) results for a geometry-optimized Fe4Te5 structure.

a = 7.7258 Å, b = 7.7258 Å, c = 7.4137 Å
α = 90.00°, β = 90.00°, γ = 120.00°
With the nearest neighbours (Å) after each atom.
Fractional positions:
1 Te 0.0000 0.7572 0.2500  5 Fe 2.64-2.78
2 Te 0.2428 0.2428 0.2500  5 Fe 2.64-2.78
3 Te 0.7572 0.0000 0.2500  5 Fe 2.64-2.78
4 Te 0.0000 0.2428 0.7500  5 Fe 2.64-2.78
5 Te 0.7572 0.7572 0.7500  5 Fe 2.64-2.78
6 Te 0.2428 0.0000 0.7500  5 Fe 2.64-2.78
7 Te 0.6667 0.3333 0.0000  6 Fe 2.98
8 Te 0.3333 0.6667 0.5000  6 Fe 2.98
9 Te 0.3333 0.6667 0.0000  6 Fe 2.98
10 Te 0.6667 0.3333 0.5000  6 Fe 2.98
11 Fe 0.0000 0.0000 0.0000  6 Te 2.64
12 Fe 0.0000 0.0000 0.5000  6 Te 2.64
13 Fe 0.0000 0.4130 0.2500  7 Te 2.66-2.98
14 Fe 0.5870 0.5870 0.2500  7 Te 2.66-2.98
15 Fe 0.4130 0.0000 0.2500  7 Te 2.66-2.98
16 Fe 0.0000 0.5870 0.7500  7 Te 2.66-2.98
17 Fe 0.4130 0.4130 0.7500  7 Te 2.66-2.98
18 Fe 0.5870 0.0000 0.7500  7 Te 2.66-2.98

Properties
Its total magnetization is 10.64 μB per formula unit.

2.
DFT (GGA-PBE) results for a geometry-optimized Fe4Te5 structure.

a = 7.6703 Å, b = 7.6703 Å, c = 7.6703 Å
α = 93.55°, β = 93.55°, γ = 151.20°
With the nearest neighbours (Å) after each atom.
Fractional positions:
1 Fe 0.6125 0.0000 0.6125  5 Fe 2.36-2.54
2 Fe 0.3875 0.0000 0.3875  5 Fe 2.36-2.54
3 Fe 0.0000 0.3875 0.3875  5 Fe 2.36-2.54
4 Fe 0.0000 0.6125 0.6125  5 Fe 2.36-2.54
5 Te 0.0000 0.0000 0.0000  8 Te 3.22
6 Te 0.6749 0.3251 0.0000  4 Te 2.94-3.22
7 Te 0.3251 0.6749 0.0000  4 Te 2.94-3.22
8 Te 0.3251 0.3251 0.6503  4 Te 2.94-3.22
9 Te 0.6749 0.6749 0.3497  4 Te 2.94-3.22

Properties
Its total magnetization is 12.07 μB per formula unit.

If we sort the structures by their calculated energies, the order from most to least stable is 1, 2.

1.
DFT (GGA-PBE) results for a geometry-optimized Fe5Te structure.

a = 4.5413 Å, b = 4.5413 Å, c = 4.4231 Å
α = 90.00°, β = 90.00°, γ = 120.00°
With the nearest neighbours (Å) after each atom.
Fractional positions:
1 Fe 0.6509 0.0000 0.0000  10 Fe 2.56-2.75, 2 Te 2.72
2 Fe 0.3491 0.3491 0.0000  10 Fe 2.56-2.75, 2 Te 2.72
3 Fe 0.0000 0.6509 0.0000  10 Fe 2.56-2.75, 2 Te 2.72
4 Fe 0.6667 0.3333 0.5000  3 Te 2.62, 9 Fe 2.62-2.66
5 Fe 0.3333 0.6667 0.5000  3 Te 2.62, 9 Fe 2.62-2.66
6 Te 0.0000 0.0000 0.5000  12 Fe 2.62-2.72

Properties
Its total magnetization is 11.74 μB per formula unit.

2.
DFT (GGA-PBE) results for a geometry-optimized Fe5Te structure.

a = 6.3067 Å, b = 6.3067 Å, c = 4.0729 Å
α = 90.00°, β = 90.00°, γ = 150.66°
With the nearest neighbours (Å) after each atom.
Fractional positions:
1 Fe 0.9691 0.0309 0.0000  10 Fe 2.53-2.77
2 Fe 0.3087 0.6913 0.0000  10 Fe 2.53-2.77
3 Fe 0.6389 0.3611 0.0000  4 Te 2.59, 4 Fe 2.62
4 Fe 0.4625 0.5375 0.5000  6 Fe 2.40-2.59, 2 Te 2.68
5 Fe 0.8153 0.1847 0.5000  6 Fe 2.40-2.59, 2 Te 2.68
6 Te 0.1389 0.8611 0.5000  8 Fe 2.59-2.68

Properties
Its total magnetization is 11.84 μB per formula unit.

If we sort the structures by their calculated energies, the order from most to least stable is 2, 1.

1.
DFT (GGA-PBE) results for a geometry-optimized FeTe4 structure.

a = 5.1175 Å, b = 5.1175 Å, c = 5.1175 Å
α = 90.00°, β = 90.00°, γ = 90.00°
With the nearest neighbours (Å) after each atom.
Fractional positions:
1 Te 0.0000 0.0000 0.0000  12 Te 3.62
2 Te 0.5000 0.0000 0.5000  2 Fe 2.56
3 Te 0.0000 0.5000 0.5000  2 Fe 2.56
4 Te 0.5000 0.5000 0.0000  2 Fe 2.56
5 Fe 0.5000 0.5000 0.5000  6 Te 2.56

Properties
Its total magnetization is 2.84 μB per formula unit.

2.
DFT (GGA-PBE) results for a geometry-optimized FeTe4 structure.

a = 5.7244 Å, b = 5.7244 Å, c = 5.7244 Å
α = 109.47°, β = 109.47°, γ = 109.47°
With the nearest neighbours (Å) after each atom.
Fractional positions:
1 Fe 0.0000 0.0000 0.0000  8 Te 2.86
2 Te 0.5000 0.0000 0.0000  2 Fe 2.86
3 Te 0.5000 0.5000 0.5000  2 Fe 2.86
4 Te 0.0000 0.5000 0.0000  2 Fe 2.86
5 Te 0.0000 0.0000 0.5000  2 Fe 2.86

Properties
Its total magnetization is 2.88 μB per formula unit.

If we sort the structures by their calculated energies, the order from most to least stable is 2, 1.

1.
DFT (GGA-PBE) results for a geometry-optimized Th2FeTe structure.

a = 4.0630 Å, b = 4.0630 Å, c = 8.0059 Å
α = 75.30°, β = 75.30°, γ = 60.01°
With the nearest neighbours (Å) after each atom.
Fractional positions:
1 Th 0.2692 0.2692 0.1924  3 Fe 2.77
2 Th 0.7308 0.7308 0.8076  3 Fe 2.77
3 Fe 0.0000 0.0000 0.0000  6 Th 2.77
4 Te 0.5000 0.5000 0.5000  6 Th 3.32

Properties
Its total magnetization is 0.00 μB per formula unit.

2.
DFT (GGA-PBE) results for a geometry-optimized Th2FeTe structure.

a = 3.6632 Å, b = 3.6632 Å, c = 9.9899 Å
α = 79.44°, β = 79.44°, γ = 60.00°
With the nearest neighbours (Å) after each atom.
Fractional positions:
1 Te 0.5000 0.5000 0.5000  6 Th 3.22
2 Fe 0.0000 0.0000 0.0000  2 Th 2.46
3 Th 0.0839 0.0839 0.7484  1 Fe 2.46
4 Th 0.9161 0.9161 0.2516  1 Fe 2.46

Properties
Its total magnetization is 1.47 μB per formula unit.

If we sort the structures by their calculated energies, the order from most to least stable is 1, 2.

1.
DFT (GGA-PBE) results for a geometry-optimized Th3FeTe2 structure.

a = 6.2409 Å, b = 7.9939 Å, c = 7.9546 Å
α = 105.16°, β = 113.10°, γ = 90.00°
With the nearest neighbours (Å) after each atom.
Fractional positions:
1 Th 0.5000 0.2500 0.0000  2 Fe 3.12, 4 Te 3.24-3.26
2 Th 0.5000 0.7500 0.0000  2 Fe 3.12, 4 Te 3.24-3.26
3 Th 0.1256 0.0558 0.2510  2 Fe 2.61-2.72
4 Th 0.8745 0.4442 0.7490  2 Fe 2.61-2.72
5 Th 0.1255 0.5558 0.2510  2 Fe 2.61-2.72
6 Th 0.8744 0.9442 0.7490  2 Fe 2.61-2.72
7 Fe 0.0001 0.7500 0.0000  4 Th 2.61-2.72
8 Fe 0.9999 0.2500 0.0000  4 Th 2.61-2.72
9 Te 0.6828 0.5932 0.3657  6 Th 3.22-3.36
10 Te 0.6829 0.0932 0.3657  6 Th 3.22-3.36
11 Te 0.3171 0.9068 0.6343  6 Th 3.22-3.36
12 Te 0.3172 0.4068 0.6343  6 Th 3.22-3.36

Properties
Its total magnetization is 0.00 μB per formula unit.

2.
DFT (GGA-PBE) results for a geometry-optimized Th3FeTe2 structure.

a = 7.4300 Å, b = 7.9059 Å, c = 7.3900 Å
α = 80.85°, β = 59.82°, γ = 71.56°
With the nearest neighbours (Å) after each atom.
Fractional positions:
1 Th 0.5571 0.2040 0.3761  2 Fe 2.77-2.80
2 Th 0.6926 0.8006 0.0000  2 Fe 2.77
3 Th 0.4429 0.7960 0.6239  2 Fe 2.77-2.80
4 Th 0.0668 0.7960 0.3761  2 Fe 2.77-2.80
5 Th 0.9332 0.2040 0.6239  2 Fe 2.77-2.80
6 Th 0.3074 0.1994 0.0000  2 Fe 2.77
7 Fe 0.3323 0.0000 0.3354  6 Th 2.77-2.80
8 Fe 0.6677 0.0000 0.6646  6 Th 2.77-2.80
9 Te 0.0000 0.0000 0.0000  6 Th 3.16-3.17
10 Te 0.5000 0.5000 0.0000  6 Th 3.14-3.45
11 Te 0.8478 0.5000 0.3043  6 Th 3.20-3.48
12 Te 0.1522 0.5000 0.6957  6 Th 3.20-3.48

Properties
Its total magnetization is 0.00 μB per formula unit.

If we sort the structures by their calculated energies, the order from most to least stable is 2, 1.

1.
DFT (GGA-PBE) results for a geometry-optimized TlFe2Te structure.

a = 3.3449 Å, b = 3.3450 Å, c = 6.8162 Å
α = 90.00°, β = 90.00°, γ = 90.00°
With the nearest neighbours (Å) after each atom.
Fractional positions:
1 Fe 0.0000 0.0000 0.0582  1 Fe 2.61, 4 Te 2.70
2 Fe 0.0000 0.0000 0.4418  1 Fe 2.61, 4 Te 2.70
3 Te 0.5000 0.5000 0.2500  8 Fe 2.70
4 Tl 0.5000 0.5000 0.7500  8 Fe 3.16, 4 Tl 3.34, 2 Te 3.41

Properties
Its total magnetization is 4.74 μB per formula unit.

2.
DFT (GGA-PBE) results for a geometry-optimized TlFe2Te structure.

a = 3.2567 Å, b = 4.0952 Å, c = 6.5324 Å
α = 90.00°, β = 90.00°, γ = 90.00°
With the nearest neighbours (Å) after each atom.
Fractional positions:
1 Fe 0.0000 0.2500 0.9316  1 Fe 2.37, 2 Te 2.64
2 Fe 0.0000 0.2500 0.5684  1 Fe 2.37, 2 Te 2.64
3 Te 0.5000 0.2500 0.2500  4 Fe 2.64
4 Tl 0.5000 0.7500 0.7500  8 Fe 2.87

Properties
Its total magnetization is 5.43 μB per formula unit.

3.
DFT (GGA-PBE) results for a geometry-optimized TlFe2Te structure.

a = 4.8233 Å, b = 4.8233 Å, c = 4.8233 Å
α = 60.00°, β = 60.00°, γ = 60.00°
With the nearest neighbours (Å) after each atom.
Fractional positions:
1 Fe 0.0000 0.0000 0.0000  4 Tl 2.95, 4 Fe 2.95
2 Fe 0.2500 0.2500 0.2500  4 Fe 2.95, 4 Te 2.95
3 Te 0.5000 0.5000 0.5000  4 Tl 2.95, 4 Fe 2.95
4 Tl 0.7500 0.7500 0.7500  4 Fe 2.95, 4 Te 2.95

Properties
Its total magnetization is 5.30 μB per formula unit.

If we sort the structures by their calculated energies, the order from most to least stable is 2, 1, 3.